The following is a SCAN calculation of a crystal of CaBeAl2 relaxed with PBEsol, from Alexandria via LeMat-Bulk.

Output
The calculation puts the total energy at -28.1 eV/cell. As for the space-group type: Cmmm (65). As for the formation energy: 1.4 eV per formula unit. Its density of states at the Fermi level is 1.74 states/eV per cell.

Cell: 2.8292 5.3620 5.3620 Å, 115.17 90.00 90.00°
Last column: nearest neighbours and their distance in Å.
Fractional coordinates of all 4 atoms:
Ca: 0.5000 0.5000 0.5000  2 Ca 2.83, 2 Be 2.87, 8 Al 3.03
Al: 0.0000 0.0000 0.5000  4 Al 2.83-2.87, 4 Be 3.03, 4 Ca 3.03
Al: 0.0000 0.5000 0.0000  4 Al 2.83-2.87, 4 Ca 3.03, 4 Be 3.03
Be: 0.5000 0.0000 0.0000  2 Be 2.83, 2 Ca 2.87, 8 Al 3.03